Computed, not measured: a geometry-optimized LuMoBrO4 structure at the PBE+U level of DFT.

```
LuMoBrO4
1.0
-1.387 -2.245 6.467
5.793 -4.191 -1.026
4.398 9.833 0.734
Mo Lu O Br
4 4 16 4
Direct
0.724 0.819 0.135
0.276 0.181 0.865
0.772 0.579 0.628
0.228 0.421 0.372
0.671 0.088 0.729
0.329 0.912 0.271
0.377 0.668 0.767
0.623 0.332 0.233
0.647 0.740 0.957
0.353 0.260 0.043
0.994 0.897 0.203
0.006 0.103 0.797
0.660 0.621 0.199
0.340 0.379 0.801
0.408 0.988 0.807
0.592 0.012 0.193
0.041 0.652 0.674
0.959 0.348 0.326
0.728 0.380 0.696
0.272 0.620 0.304
0.672 0.496 0.448
0.328 0.504 0.552
0.655 0.772 0.706
0.345 0.228 0.294
0.268 0.020 0.520
0.732 0.980 0.480
0.194 0.725 0.990
0.806 0.275 0.010
```

## Properties
The density of states at the Fermi level is 0.000 states/eV/f.u. The total magnetic moment comes out at 0.0 Bohr magnetons per cell. The total energy comes out at -193.88 eV for the cell shown. The calculation puts the theoretical density at 5.5 g cm⁻³. The calculation puts the volume at 17.77 Å³/atom.